1.
Nd4Y2Ho3 after structural relaxation, computed with PBE.

Summary:
- distance to the lowest polymorph of the same formula (meV/atom) = 4
- ΔE_f (meV per atom) = 54
- total DFT energy (no corrections) (eV/atom) = -5.03

Cell: 3.6235 3.6235 26.7172 Å, 90.00 90.00 120.00°
Last column: nearest neighbours and their distance in Å.
Element x y z (fractional)
Nd (0.0000, 0.0000, 0.5469)  3 Ho 3.57, 9 Nd 3.62-3.72
Nd (0.6667, 0.3333, 0.4317)  3 Ho 3.60, 9 Nd 3.62-3.72
Nd (0.6667, 0.3333, 0.2161)  1 Y 3.51, 3 Ho 3.52, 6 Nd 3.62
Nd (0.0000, 0.0000, 0.7645)  3 Ho 3.59, 3 Y 3.62, 6 Nd 3.62
Y (0.6667, 0.3333, 0.0847)  3 Ho 3.48, 1 Nd 3.51, 6 Y 3.62
Y (0.6667, 0.3333, 0.8751)  3 Ho 3.51, 3 Nd 3.62, 6 Y 3.62
Ho (0.0000, 0.0000, 0.9808)  6 Y 3.48-3.51, 6 Ho 3.62
Ho (0.0000, 0.0000, 0.3222)  6 Nd 3.52-3.60, 6 Ho 3.62
Ho (0.6667, 0.3333, 0.6553)  6 Nd 3.57-3.59, 6 Ho 3.62

2.
Nd6Y2Ho5 after structural relaxation, computed with PBE.

Summary:
- ΔE_f (meV per atom) = 100
- total DFT energy (no corrections) (eV/atom) = -4.86

Cell: 3.6286 11.7519 20.5853 Å, 90.00 90.00 90.00°
Last column: nearest neighbours and their distance in Å.
Element x y z (fractional)
Nd (0.0000, 0.0825, 0.3665)  1 Y 3.38, 6 Ho 3.43-3.53, 4 Nd 3.51-3.63
Nd (0.0000, 0.9175, 0.6335)  1 Y 3.38, 6 Ho 3.43-3.53, 4 Nd 3.51-3.63
Nd (0.0000, 0.5825, 0.1335)  1 Y 3.38, 6 Ho 3.43-3.53, 4 Nd 3.51-3.63
Nd (0.0000, 0.4175, 0.8665)  1 Y 3.38, 6 Ho 3.43-3.53, 4 Nd 3.51-3.63
Nd (0.5000, 0.3267, 0.1329)  2 Ho 3.32-3.41, 4 Nd 3.51-3.63, 2 Y 3.69
Nd (0.5000, 0.6733, 0.8671)  2 Ho 3.32-3.41, 4 Nd 3.51-3.63, 2 Y 3.69
Nd (0.5000, 0.8267, 0.3671)  2 Ho 3.32-3.41, 4 Nd 3.51-3.63, 2 Y 3.69
Nd (0.5000, 0.1733, 0.6329)  2 Ho 3.32-3.41, 4 Nd 3.51-3.63, 2 Y 3.69
Nd (0.0000, 0.5594, 0.4202)  6 Ho 3.53-3.71, 5 Nd 3.57-3.79, 1 Y 3.77
Nd (0.0000, 0.4406, 0.5798)  6 Ho 3.53-3.71, 5 Nd 3.57-3.79, 1 Y 3.77
Nd (0.0000, 0.0594, 0.0798)  6 Ho 3.53-3.71, 5 Nd 3.57-3.79, 1 Y 3.77
Nd (0.0000, 0.9406, 0.9202)  6 Ho 3.53-3.71, 5 Nd 3.57-3.79, 1 Y 3.77
Y (0.0000, 0.3356, 0.2889)  4 Nd 3.38-3.77, 6 Ho 3.56-3.70, 2 Y 3.63
Y (0.0000, 0.6644, 0.7111)  4 Nd 3.38-3.77, 6 Ho 3.56-3.70, 2 Y 3.63
Y (0.0000, 0.8356, 0.2111)  4 Nd 3.38-3.77, 6 Ho 3.56-3.70, 2 Y 3.63
Y (0.0000, 0.1644, 0.7889)  4 Nd 3.38-3.77, 6 Ho 3.56-3.70, 2 Y 3.63
Ho (0.5000, 0.3010, 0.4445)  6 Nd 3.53-3.71, 3 Ho 3.63-3.72, 2 Y 3.70
Ho (0.5000, 0.6990, 0.5555)  6 Nd 3.53-3.71, 3 Ho 3.63-3.72, 2 Y 3.70
Ho (0.5000, 0.8010, 0.0555)  6 Nd 3.53-3.71, 3 Ho 3.63-3.72, 2 Y 3.70
Ho (0.5000, 0.1990, 0.9445)  6 Nd 3.53-3.71, 3 Ho 3.63-3.72, 2 Y 3.70
Ho (0.5000, 0.5950, 0.2745)  5 Nd 3.32-3.53, 4 Y 3.56-3.60, 2 Ho 3.63
Ho (0.5000, 0.4050, 0.7255)  5 Nd 3.32-3.53, 4 Y 3.56-3.60, 2 Ho 3.63
Ho (0.5000, 0.0950, 0.2255)  5 Nd 3.32-3.53, 4 Y 3.56-3.60, 2 Ho 3.63
Ho (0.5000, 0.9050, 0.7745)  5 Nd 3.32-3.53, 4 Y 3.56-3.60, 2 Ho 3.63
Ho (0.5000, 0.5000, 0.0000)  6 Nd 3.41-3.43, 4 Ho 3.63-3.72
Ho (0.5000, 0.0000, 0.5000)  6 Nd 3.41-3.43, 4 Ho 3.63-3.72

3.
Nd2Y5Ho3 after structural relaxation, computed with PBE.

Summary:
- ΔE_f (meV per atom) = 185
- total DFT energy (no corrections) (eV/atom) = -5.37

Cell: 9.3395 9.3523 11.1653 Å, 124.30 124.28 69.75°
Last column: nearest neighbours and their distance in Å.
Element x y z (fractional)
Nd (0.7774, 0.0177, 0.7509)  3 Ho 3.12-3.45, 2 Y 3.32-3.47
Nd (0.2226, 0.9823, 0.2491)  3 Ho 3.12-3.45, 2 Y 3.32-3.47
Nd (0.4735, 0.7332, 0.7509)  3 Ho 3.12-3.45, 2 Y 3.32-3.47
Nd (0.5265, 0.2668, 0.2491)  3 Ho 3.12-3.45, 2 Y 3.32-3.47
Y (0.2775, 0.5275, 0.0550)  3 Y 3.22-3.55, 4 Ho 3.33-3.48, 2 Nd 3.52
Y (0.7225, 0.4725, 0.9450)  3 Y 3.22-3.55, 4 Ho 3.33-3.48, 2 Nd 3.52
Y (0.0203, 0.7703, 0.5405)  5 Ho 3.31-3.51, 2 Nd 3.50, 2 Y 3.62
Y (0.5243, 0.2743, 0.5485)  1 Y 3.22, 4 Nd 3.32-3.55, 2 Ho 3.56
Y (0.9797, 0.2297, 0.4595)  5 Ho 3.31-3.51, 2 Nd 3.50, 2 Y 3.62
Y (0.4757, 0.7257, 0.4515)  1 Y 3.22, 4 Nd 3.32-3.55, 2 Ho 3.56
Y (0.8749, 0.6205, 0.7637)  3 Ho 3.46-3.57, 2 Nd 3.47-3.57, 3 Y 3.55-3.70
Y (0.1251, 0.3795, 0.2363)  3 Ho 3.46-3.57, 2 Nd 3.47-3.57, 3 Y 3.55-3.70
Y (0.3888, 0.1432, 0.7637)  3 Ho 3.46-3.57, 2 Nd 3.47-3.57, 3 Y 3.55-3.70
Y (0.6112, 0.8568, 0.2363)  3 Ho 3.46-3.57, 2 Nd 3.47-3.57, 3 Y 3.55-3.70
Ho (0.2245, 0.9745, 0.9489)  3 Y 3.31-3.57, 4 Nd 3.32-3.45, 2 Ho 3.41
Ho (0.7755, 0.0255, 0.0511)  3 Y 3.31-3.57, 4 Nd 3.32-3.45, 2 Ho 3.41
Ho (0.7269, 0.4665, 0.2427)  1 Nd 3.12, 4 Y 3.33-3.48, 1 Ho 3.41
Ho (0.2731, 0.5335, 0.7573)  1 Nd 3.12, 4 Y 3.33-3.48, 1 Ho 3.41
Ho (0.0158, 0.7762, 0.2427)  1 Nd 3.12, 4 Y 3.33-3.48, 1 Ho 3.41
Ho (0.9842, 0.2238, 0.7573)  1 Nd 3.12, 4 Y 3.33-3.48, 1 Ho 3.41

4.
NdY2Ho9 after structural relaxation, computed with PBE.

Summary:
- distance to the lowest polymorph of the same formula (meV/atom) = 0
- ΔE_f (meV per atom) = 24
- total DFT energy (no corrections) (eV/atom) = -4.88

Cell: 5.0165 5.0165 15.0463 Å, 90.00 90.00 90.00°
Last column: nearest neighbours and their distance in Å.
Element x y z (fractional)
Nd (0.0000, 0.0000, 0.0000)  12 Ho 3.55-3.56
Y (0.0000, 0.0000, 0.3340)  12 Ho 3.54-3.55
Y (0.0000, 0.0000, 0.6660)  12 Ho 3.54-3.55
Ho (0.5000, 0.5000, 0.0000)  4 Nd 3.55, 8 Ho 3.56
Ho (0.5000, 0.5000, 0.3345)  8 Ho 3.53-3.55, 4 Y 3.55
Ho (0.5000, 0.5000, 0.6655)  8 Ho 3.53-3.55, 4 Y 3.55
Ho (0.5000, 0.0000, 0.1680)  2 Y 3.54, 8 Ho 3.55-3.56, 2 Nd 3.56
Ho (0.5000, 0.0000, 0.5000)  8 Ho 3.53-3.55, 4 Y 3.54
Ho (0.5000, 0.0000, 0.8320)  2 Y 3.54, 8 Ho 3.55-3.56, 2 Nd 3.56
Ho (0.0000, 0.5000, 0.1680)  2 Y 3.54, 8 Ho 3.55-3.56, 2 Nd 3.56
Ho (0.0000, 0.5000, 0.5000)  8 Ho 3.53-3.55, 4 Y 3.54
Ho (0.0000, 0.5000, 0.8320)  2 Y 3.54, 8 Ho 3.55-3.56, 2 Nd 3.56

5.
NdY4Ho6 after structural relaxation, computed with PBE.

Summary:
- distance to the lowest polymorph of the same formula (meV/atom) = 150
- ΔE_f (meV per atom) = 462
- total DFT energy (no corrections) (eV/atom) = -4.82

Cell: 7.5748 7.5748 8.5207 Å, 116.39 116.39 90.00°
Last column: nearest neighbours and their distance in Å.
Element x y z (fractional)
Nd (0.5000, 0.5000, 0.0000)  8 Ho 3.52-3.79, 4 Y 3.72
Y (0.0870, 0.7537, 0.8408)  3 Ho 3.01-3.23, 2 Y 3.29
Y (0.9130, 0.9130, 0.1592)  3 Ho 3.01-3.23, 2 Y 3.29
Y (0.7537, 0.0870, 0.8408)  3 Ho 3.01-3.23, 2 Y 3.29
Y (0.2463, 0.2463, 0.1592)  3 Ho 3.01-3.23, 2 Y 3.29
Ho (0.9214, 0.4451, 0.3665)  3 Y 3.23-3.60, 1 Nd 3.52, 2 Ho 3.62
Ho (0.4451, 0.9214, 0.3665)  3 Y 3.23-3.60, 1 Nd 3.52, 2 Ho 3.62
Ho (0.5549, 0.5549, 0.6335)  3 Y 3.23-3.60, 1 Nd 3.52, 2 Ho 3.62
Ho (0.0000, 0.5000, 0.0000)  4 Y 3.01
Ho (0.0786, 0.0786, 0.6335)  3 Y 3.23-3.60, 1 Nd 3.52, 2 Ho 3.62
Ho (0.5000, 0.0000, 0.0000)  4 Y 3.01

6.
Nd2Y5Ho4 after structural relaxation, computed with PBE.

Summary:
- distance to the lowest polymorph of the same formula (meV/atom) = 11
- ΔE_f (meV per atom) = 164
- total DFT energy (no corrections) (eV/atom) = -5.31

Cell: 6.6846 8.9384 10.2917 Å, 39.84 71.05 68.04°
Last column: nearest neighbours and their distance in Å.
Element x y z (fractional)
Nd (0.2021, 0.8931, 0.7026)  5 Ho 3.33-3.72, 2 Y 3.42
Nd (0.7979, 0.1069, 0.2974)  5 Ho 3.33-3.72, 2 Y 3.42
Y (0.1729, 0.2705, 0.9082)  4 Y 3.18-3.51, 2 Ho 3.28-3.48, 1 Nd 3.42
Y (0.8271, 0.7295, 0.0918)  4 Y 3.18-3.51, 2 Ho 3.28-3.48, 1 Nd 3.42
Y (0.0000, 0.5000, 0.5000)  4 Y 3.37, 4 Ho 3.74
Y (0.6484, 0.2705, 0.9082)  4 Y 3.18-3.51, 2 Ho 3.28-3.48, 1 Nd 3.42
Y (0.3516, 0.7295, 0.0918)  4 Y 3.18-3.51, 2 Ho 3.28-3.48, 1 Nd 3.42
Ho (0.4130, 0.7691, 0.4048)  2 Ho 3.33-3.34, 6 Y 3.66-3.71, 1 Nd 3.72
Ho (0.5870, 0.2309, 0.5952)  2 Ho 3.33-3.34, 6 Y 3.66-3.71, 1 Nd 3.72
Ho (0.7559, 0.6849, 0.8033)  4 Y 3.28-3.48, 1 Ho 3.33, 4 Nd 3.33-3.55
Ho (0.2441, 0.3151, 0.1967)  4 Y 3.28-3.48, 1 Ho 3.33, 4 Nd 3.33-3.55

7.
Nd3Y12Ho after structural relaxation, computed with PBE.

Summary:
- ΔE_f (meV per atom) = 22
- total DFT energy (no corrections) (eV/atom) = -6.01

Cell: 5.0747 5.0747 20.3103 Å, 90.00 90.00 90.00°
Last column: nearest neighbours and their distance in Å.
Element x y z (fractional)
Nd (0.0000, 0.0000, 0.2492)  12 Y 3.59-3.60
Nd (0.0000, 0.0000, 0.5000)  12 Y 3.59-3.60
Nd (0.0000, 0.0000, 0.7508)  12 Y 3.59-3.60
Y (0.5000, 0.5000, 0.0000)  8 Y 3.56, 4 Ho 3.59
Y (0.5000, 0.5000, 0.2485)  4 Nd 3.59, 8 Y 3.59-3.60
Y (0.5000, 0.5000, 0.5000)  4 Nd 3.59, 8 Y 3.60
Y (0.5000, 0.5000, 0.7515)  4 Nd 3.59, 8 Y 3.59-3.60
Y (0.5000, 0.0000, 0.1232)  8 Y 3.56-3.59, 2 Ho 3.56, 2 Nd 3.60
Y (0.5000, 0.0000, 0.3744)  8 Y 3.59-3.60, 4 Nd 3.59-3.60
Y (0.5000, 0.0000, 0.6256)  8 Y 3.59-3.60, 4 Nd 3.59-3.60
Y (0.5000, 0.0000, 0.8768)  8 Y 3.56-3.59, 2 Ho 3.56, 2 Nd 3.60
Y (0.0000, 0.5000, 0.1232)  8 Y 3.56-3.59, 2 Ho 3.56, 2 Nd 3.60
Y (0.0000, 0.5000, 0.3744)  8 Y 3.59-3.60, 4 Nd 3.59-3.60
Y (0.0000, 0.5000, 0.6256)  8 Y 3.59-3.60, 4 Nd 3.59-3.60
Y (0.0000, 0.5000, 0.8768)  8 Y 3.56-3.59, 2 Ho 3.56, 2 Nd 3.60
Ho (0.0000, 0.0000, 0.0000)  12 Y 3.56-3.59

8.
Nd6Y5Ho after structural relaxation, computed with PBE.

Summary:
- distance to the lowest polymorph of the same formula (meV/atom) = 6
- ΔE_f (meV per atom) = 15
- total DFT energy (no corrections) (eV/atom) = -5.44

Cell: 5.1498 10.1585 9.5782 Å, 122.03 105.58 90.00°
Last column: nearest neighbours and their distance in Å.
Element x y z (fractional)
Y (0.6664, 0.1664, 0.3328)  8 Nd 3.60-3.62, 2 Ho 3.63, 2 Y 3.64
Y (0.3335, 0.3335, 0.6670)  8 Nd 3.61-3.62, 4 Y 3.63-3.64
Y (0.0000, 0.5000, 0.0000)  8 Nd 3.61-3.62, 4 Y 3.63
Y (0.6665, 0.6665, 0.3330)  8 Nd 3.61-3.62, 4 Y 3.63-3.64
Y (0.3336, 0.8336, 0.6672)  8 Nd 3.60-3.62, 2 Ho 3.63, 2 Y 3.64
Nd (0.8337, 0.5842, 0.6674)  1 Ho 3.60, 7 Y 3.61-3.62, 4 Nd 3.63-3.64
Nd (0.8337, 0.0832, 0.6674)  1 Ho 3.60, 7 Y 3.61-3.62, 4 Nd 3.63-3.64
Nd (0.5000, 0.7510, 0.0000)  6 Y 3.60-3.62, 2 Ho 3.61, 4 Nd 3.63
Nd (0.5000, 0.2490, 0.0000)  6 Y 3.60-3.62, 2 Ho 3.61, 4 Nd 3.63
Nd (0.1663, 0.9168, 0.3326)  1 Ho 3.60, 7 Y 3.61-3.62, 4 Nd 3.63-3.64
Nd (0.1663, 0.4158, 0.3326)  1 Ho 3.60, 7 Y 3.61-3.62, 4 Nd 3.63-3.64
Ho (0.0000, 0.0000, 0.0000)  8 Nd 3.60-3.61, 4 Y 3.63

9.
Nd2Y7Ho4 after structural relaxation, computed with PBE.

Summary:
- ΔE_f (meV per atom) = 134
- total DFT energy (no corrections) (eV/atom) = -5.49

Cell: 6.3638 6.5172 11.8415 Å, 91.48 87.00 119.20°
Last column: nearest neighbours and their distance in Å.
Element x y z (fractional)
Nd (0.6637, 0.3273, 0.0001)  9 Y 3.46-3.83, 3 Nd 3.72-3.74
Nd (0.3363, 0.6727, 0.9999)  9 Y 3.46-3.83, 3 Nd 3.72-3.74
Y (0.0052, 0.6408, 0.7646)  2 Ho 3.21-3.57, 2 Nd 3.46-3.52, 2 Y 3.56
Y (0.9948, 0.3592, 0.2354)  2 Ho 3.21-3.57, 2 Nd 3.46-3.52, 2 Y 3.56
Y (0.0000, 0.0000, 0.0000)  6 Y 3.60-3.79, 6 Nd 3.69-3.83
Y (0.6828, 0.0000, 0.7377)  2 Ho 3.49-3.78, 7 Y 3.66-3.82, 2 Nd 3.75
Y (0.3172, 0.0000, 0.2623)  2 Ho 3.49-3.78, 7 Y 3.66-3.82, 2 Nd 3.75
Y (0.6355, 0.6408, 0.2354)  2 Ho 3.21-3.57, 2 Nd 3.46-3.52, 2 Y 3.56
Y (0.3645, 0.3592, 0.7646)  2 Ho 3.21-3.57, 2 Nd 3.46-3.52, 2 Y 3.56
Ho (0.2135, 0.0000, 0.5549)  3 Ho 3.07-3.20, 2 Y 3.21
Ho (0.7865, 0.0000, 0.4451)  3 Ho 3.07-3.20, 2 Y 3.21
Ho (0.7259, 0.4520, 0.5001)  6 Ho 3.20-3.48, 2 Y 3.57
Ho (0.2741, 0.5480, 0.4999)  6 Ho 3.20-3.48, 2 Y 3.57

So what do the calculations give for D(E_F)? Going down the list: 1.81 1.21 1.82 1.44 1.42 1.55 1.48 1.39 1.38 states/eV/atom.
So what do the calculations give for spin magnetization? Going down the list: 0.0735 0.0000 0.0000 0.0000 0.0000 0.0000 0.0000 0.0000 0.0000 μB/atom.